# TmSnBr5 (PBE, optimized geometry)
# Formation energy from raw total energies = -1.330 eV per atom
# Symmetry = C2/c
data_TmSnBr5
_chemical_formula_sum 'Tm2 Sn2 Br10'
_cell_length_a 7.532
_cell_length_b 7.532
_cell_length_c 10.828
_cell_angle_alpha 108.54
_cell_angle_beta 108.54
_cell_angle_gamma 89.20
_space_group_name_H-M_alt 'P 1'
_space_group_IT_number 1
_space_group_name_Hall 'P 1'
loop_
_atom_site_label
_atom_site_fract_x
_atom_site_fract_y
_atom_site_fract_z
Tm1 0.000 0.500 0.000
Tm2 0.500 0.000 0.500
Sn1 0.077 0.923 0.750
Sn2 0.923 0.077 0.250
Br1 0.183 0.621 0.852
Br2 0.231 0.246 0.519
Br3 0.238 0.762 0.250
Br4 0.246 0.231 0.019
Br5 0.379 0.817 0.648
Br6 0.621 0.183 0.352
Br7 0.754 0.769 0.981
Br8 0.762 0.238 0.750
Br9 0.769 0.754 0.481
Br10 0.817 0.379 0.148